# 1
Computed, not measured: a relaxed structure of Zn12Ga6Au at the PBE level of DFT.

a b c (Å): 7.0659 7.0659 7.0659
angles (deg): 99.51 99.51 99.51
Fractional positions:
Zn (0.0081, 0.1390, 0.6811)
Zn (0.1390, 0.6811, 0.0081)
Zn (0.1873, 0.4963, 0.6586)
Zn (0.3189, 0.9919, 0.8610)
Zn (0.3414, 0.8127, 0.5037)
Zn (0.4963, 0.6586, 0.1873)
Zn (0.5037, 0.3414, 0.8127)
Zn (0.6586, 0.1873, 0.4963)
Zn (0.6811, 0.0081, 0.1390)
Zn (0.8127, 0.5037, 0.3414)
Zn (0.8610, 0.3189, 0.9919)
Zn (0.9919, 0.8610, 0.3189)
Ga (0.0355, 0.2387, 0.3309)
Ga (0.2387, 0.3309, 0.0355)
Ga (0.3309, 0.0355, 0.2387)
Ga (0.6691, 0.9645, 0.7613)
Ga (0.7613, 0.6691, 0.9645)
Ga (0.9645, 0.7613, 0.6691)
Au (0.5000, 0.5000, 0.5000)

Its formation energy is 0.044 eV per atom. The calculation puts the raw total energy at -1.89 eV per atom. The energy above the most stable polymorph in this dataset comes out at 0 meV per atom. As for the space-group type: R-3. For the density of states at the Fermi level, the calculation gives 6.15 states/eV per cell. For the total magnetic moment, the calculation gives 0.00 Bohr magnetons per cell.


# 2
Computed, not measured: a relaxed structure of SrCr2SnMo at the PBE level of DFT.

a b c (Å): 4.7777 4.7777 5.6043
angles (deg): 90.00 90.00 90.00
Fractional positions:
Sr (0.0000, 0.0000, 0.0000)
Cr (0.0000, 0.5000, 0.5000)
Cr (0.5000, 0.0000, 0.5000)
Sn (0.0000, 0.0000, 0.5000)
Mo (0.5000, 0.5000, 0.0000)

Its formation energy is 2.332 eV per atom. The calculation puts the raw total energy at -4.82 eV per atom. As for the space-group type: P4/mmm. For the density of states at the Fermi level, the calculation gives 16.53 states/eV per cell. For the total magnetic moment, the calculation gives 0.00 Bohr magnetons per cell.


# 3
Computed, not measured: a relaxed structure of NdSmHo2 at the PBE level of DFT.

a b c (Å): 5.0916 5.0916 5.0398
angles (deg): 90.00 90.00 90.00
Fractional positions:
Nd (0.0000, 0.0000, 0.0000)
Sm (0.5000, 0.5000, 0.0000)
Ho (0.0000, 0.5000, 0.5000)
Ho (0.5000, 0.0000, 0.5000)

Its formation energy is 0.021 eV per atom. The calculation puts the raw total energy at -4.64 eV per atom. The energy above the most stable polymorph in this dataset comes out at 7 meV per atom. As for the space-group type: P4/mmm. For the density of states at the Fermi level, the calculation gives 6.43 states/eV per cell. For the total magnetic moment, the calculation gives 0.00 Bohr magnetons per cell.


# 4
Computed, not measured: a relaxed structure of AlHPd3 at the PBE level of DFT.

a b c (Å): 5.6072 4.1132 5.8464
angles (deg): 90.00 109.73 90.00
Fractional positions:
Al (0.2326, 0.0000, 0.3481)
Al (0.7674, 0.5000, 0.6519)
H (0.3515, 0.2798, 0.8943)
H (0.6485, 0.7798, 0.1057)
Pd (0.0977, 0.0042, 0.8880)
Pd (0.2138, 0.4997, 0.6014)
Pd (0.4247, 0.5007, 0.1976)
Pd (0.5753, 0.0007, 0.8024)
Pd (0.7862, 0.9997, 0.3986)
Pd (0.9023, 0.5042, 0.1120)

The calculation puts the raw total energy at -5.04 eV per atom. The energy above the most stable polymorph in this dataset comes out at 45 meV per atom. As for the space-group type: P2_1. For the density of states at the Fermi level, the calculation gives 3.06 states/eV per cell. For the total magnetic moment, the calculation gives 0.00 Bohr magnetons per cell.


# 5
Computed, not measured: a relaxed structure of KBaNa2 at the PBE level of DFT.

a b c (Å): 13.6133 13.6133 13.6133
angles (deg): 18.18 18.18 18.18
Fractional positions:
K (0.0000, 0.0000, 0.0000)
Ba (0.1668, 0.1668, 0.1668)
Na (0.4186, 0.4186, 0.4186)
Na (0.5816, 0.5816, 0.5816)

Its formation energy is 0.062 eV per atom. The calculation puts the raw total energy at -1.35 eV per atom. The energy above the most stable polymorph in this dataset comes out at 49 meV per atom. As for the space-group type: R3m. For the density of states at the Fermi level, the calculation gives 3.20 states/eV per cell. For the total magnetic moment, the calculation gives 0.00 Bohr magnetons per cell.


# 6
Computed, not measured: a relaxed structure of CrFe3Pb at the PBE level of DFT.

a b c (Å): 4.2528 4.2528 4.2528
angles (deg): 90.00 90.00 90.00
Fractional positions:
Cr (0.0000, 0.0000, 0.0000)
Fe (0.0000, 0.0000, 0.5000)
Fe (0.0000, 0.5000, 0.0000)
Fe (0.5000, 0.0000, 0.0000)
Pb (0.5000, 0.5000, 0.5000)

Its formation energy is 1.200 eV per atom. The calculation puts the raw total energy at -6.54 eV per atom. The energy above the most stable polymorph in this dataset comes out at 0 meV per atom. As for the space-group type: Pm-3m. For the density of states at the Fermi level, the calculation gives 9.39 states/eV per cell. For the total magnetic moment, the calculation gives 0.00 Bohr magnetons per cell.


# 7
Computed, not measured: a relaxed structure of KBa2Tc2 at the PBE level of DFT.

a b c (Å): 9.8674 9.8674 3.4378
angles (deg): 90.00 90.00 90.00
Fractional positions:
K (0.0000, 0.0000, 0.0000)
K (0.5000, 0.5000, 0.0000)
Ba (0.1926, 0.3074, 0.0000)
Ba (0.3074, 0.8074, 0.0000)
Ba (0.6926, 0.1926, 0.0000)
Ba (0.8074, 0.6926, 0.0000)
Tc (0.0771, 0.5771, 0.5000)
Tc (0.4229, 0.0771, 0.5000)
Tc (0.5771, 0.9229, 0.5000)
Tc (0.9229, 0.4229, 0.5000)

Its formation energy is 0.861 eV per atom. The calculation puts the raw total energy at -4.27 eV per atom. The energy above the most stable polymorph in this dataset comes out at 330 meV per atom. As for the space-group type: P4/mbm. For the density of states at the Fermi level, the calculation gives 13.21 states/eV per cell. For the total magnetic moment, the calculation gives 0.00 Bohr magnetons per cell.


# 8
Computed, not measured: a relaxed structure of KBaB2Se at the PBE level of DFT.

a b c (Å): 5.0873 5.0873 5.8701
angles (deg): 90.00 90.00 90.00
Fractional positions:
K (0.0000, 0.0000, 0.0000)
Ba (0.5000, 0.5000, 0.5000)
B (0.0000, 0.5000, 0.0000)
B (0.5000, 0.0000, 0.0000)
Se (0.0000, 0.0000, 0.5000)

The calculation puts the raw total energy at -2.59 eV per atom. The formation energy from raw total energies is 1.377 eV/atom. As for the space-group type: P4/mmm. For the density of states at the Fermi level, the calculation gives 4.31 states/eV per cell. For the total magnetic moment, the calculation gives 1.80 Bohr magnetons per cell.


# 9
Computed, not measured: a relaxed structure of Sm2Er8Th3 at the PBE level of DFT.

a b c (Å): 8.7094 8.7094 6.5864
angles (deg): 98.27 98.27 63.92
Fractional positions:
Sm (0.2168, 0.2168, 0.3001)
Sm (0.7832, 0.7832, 0.6999)
Er (0.1967, 0.1967, 0.7899)
Er (0.2090, 0.5666, 0.0628)
Er (0.4197, 0.4197, 0.6325)
Er (0.4334, 0.7910, 0.9372)
Er (0.5666, 0.2090, 0.0628)
Er (0.5803, 0.5803, 0.3675)
Er (0.7910, 0.4334, 0.9372)
Er (0.8033, 0.8033, 0.2101)
Th (0.0000, 0.0000, 0.0000)
Th (0.1698, 0.8302, 0.5000)
Th (0.8302, 0.1698, 0.5000)

Its formation energy is 0.271 eV per atom. The calculation puts the raw total energy at -4.97 eV per atom. As for the space-group type: C2/m. For the density of states at the Fermi level, the calculation gives 21.54 states/eV per cell. For the total magnetic moment, the calculation gives 0.00 Bohr magnetons per cell.


# 10
Computed, not measured: a relaxed structure of Ba2TlHg at the PBE level of DFT.

a b c (Å): 6.5851 6.5851 6.5851
angles (deg): 133.46 133.46 67.94
Fractional positions:
Ba (0.0000, 0.0000, 0.0000)
Ba (0.7500, 0.2500, 0.5000)
Tl (0.5000, 0.5000, 0.0000)
Hg (0.2500, 0.7500, 0.5000)

Its formation energy is -0.304 eV per atom. The calculation puts the raw total energy at -1.93 eV per atom. As for the space-group type: I-4m2. For the density of states at the Fermi level, the calculation gives 3.16 states/eV per cell. For the total magnetic moment, the calculation gives 0.00 Bohr magnetons per cell.


# 11
Computed, not measured: a relaxed structure of Tl4Hg2BiPb2 at the PBE level of DFT.

a b c (Å): 8.7478 8.7478 8.8642
angles (deg): 109.06 109.06 25.33
Fractional positions:
Tl (0.0407, 0.0407, 0.3404)
Tl (0.2897, 0.2897, 0.6788)
Tl (0.7103, 0.7103, 0.3212)
Tl (0.9593, 0.9593, 0.6596)
Hg (0.3723, 0.3723, 0.3443)
Hg (0.6277, 0.6277, 0.6557)
Bi (0.5000, 0.5000, 0.0000)
Pb (0.1594, 0.1594, 0.9758)
Pb (0.8406, 0.8406, 0.0242)

Its formation energy is 0.001 eV per atom. The calculation puts the raw total energy at -2.37 eV per atom. As for the space-group type: C2/m. For the density of states at the Fermi level, the calculation gives 3.48 states/eV per cell. For the total magnetic moment, the calculation gives 0.00 Bohr magnetons per cell.


# 12
Computed, not measured: a relaxed structure of Nd3MgSb4 at the PBE level of DFT.

a b c (Å): 6.3529 6.3529 6.3529
angles (deg): 90.00 90.00 90.00
Fractional positions:
Nd (0.0000, 0.0000, 0.5000)
Nd (0.0000, 0.5000, 0.0000)
Nd (0.5000, 0.0000, 0.0000)
Mg (0.5000, 0.5000, 0.5000)
Sb (0.0000, 0.0000, 0.0000)
Sb (0.0000, 0.5000, 0.5000)
Sb (0.5000, 0.0000, 0.5000)
Sb (0.5000, 0.5000, 0.0000)

The calculation puts the raw total energy at -4.90 eV per atom. The formation energy from raw total energies is -0.851 eV/atom. As for the space-group type: Pm-3m. For the density of states at the Fermi level, the calculation gives 4.18 states/eV per cell. For the total magnetic moment, the calculation gives 0.00 Bohr magnetons per cell.


Q: Among the records above, which one has the lowest raw total energy?
A: CrFe3Pb


Q: Number 12 is which compound?
A: Nd3MgSb4


Q: Number 3 is which compound?
A: NdSmHo2